The following is a DFT calculation (PBE-GGA) of SrMgAl2Ga4 after structural relaxation.

Values from the calculation:
SG = R-3m, No. 166
E_form = -0.168 eV/atom
DFT total energy = -0.1112 hartree per atom
magnetization = 0.0 μB per formula unit
Fermi-level density of states = 2.07 states/eV per cell

```
8
Lattice="2.302 1.329 9.321 -2.302 1.329 9.321 0.000 -2.658 9.321" Properties=species:S:1:pos:R:3 pbc="T T T"
Sr 0.000 0.000 0.000
Mg 0.000 0.000 13.981
Al 0.000 0.000 6.591
Al 0.000 0.000 21.372
Ga 0.000 0.000 3.615
Ga 0.000 0.000 11.237
Ga 0.000 0.000 16.726
Ga 0.000 0.000 24.348
```

The following is a DFT calculation (PBE-GGA) of LiNi2C2 after structural relaxation.

Values from the calculation:
SG = I4/mmm, No. 139
polymorph energy (0 for the lowest one) = 0 meV per atom
E_form = 0.163 eV/atom
DFT total energy = -0.2286 hartree per atom
magnetization = 0.3 μB per formula unit
Fermi-level density of states = 4.35 states/eV per cell

```
5
Lattice="-1.689 1.689 3.791 1.689 -1.689 3.791 1.689 1.689 -3.791" Properties=species:S:1:pos:R:3 pbc="T T T"
Li 0.000 0.000 0.000
Ni 1.689 0.000 1.895
Ni 0.000 1.689 1.895
C 0.000 0.000 3.082
C 0.000 0.000 4.499
```

The following is a DFT calculation (PBE-GGA) of Pm3Pt2Rh after structural relaxation.

Values from the calculation:
SG = Pnma, No. 62
polymorph energy (0 for the lowest one) = 9 meV per atom
E_form = -0.947 eV/atom
DFT total energy = -0.2411 hartree per atom
magnetization = 0.0 μB per formula unit
Fermi-level density of states = 15.22 states/eV per cell

```
24
Lattice="11.869 0.000 0.000 0.000 4.154 0.000 0.000 0.000 11.838" Properties=species:S:1:pos:R:3 pbc="T T T"
Pm 0.552 1.038 1.477
Pm 1.457 3.115 6.599
Pm 2.626 1.038 9.556
Pm 3.309 3.115 3.637
Pm 4.477 1.038 0.680
Pm 5.382 3.115 7.396
Pm 6.487 1.038 4.442
Pm 7.392 3.115 11.158
Pm 8.560 1.038 8.201
Pm 9.243 3.115 2.282
Pm 10.411 1.038 5.239
Pm 11.316 3.115 10.361
Pt 0.038 1.038 8.247
Pt 2.098 3.115 11.835
Pt 3.836 1.038 5.916
Pt 5.896 3.115 2.328
Pt 5.972 1.038 9.510
Pt 8.032 3.115 5.922
Pt 9.770 1.038 0.003
Pt 11.831 3.115 3.591
Rh 1.478 1.038 4.449
Rh 4.457 3.115 10.368
Rh 7.412 1.038 1.470
Rh 10.391 3.115 7.389
```

The following is a DFT calculation (PBE-GGA) of Sm2CuNi5Rh2 after structural relaxation.

Values from the calculation:
SG = P4/mbm, No. 127
E_form = -0.143 eV/atom
DFT total energy = -0.2152 hartree per atom
magnetization = 0.0 μB per formula unit
Fermi-level density of states = 21.46 states/eV per cell

```
20
Lattice="9.235 0.000 0.000 0.000 9.235 0.000 0.000 0.000 3.677" Properties=species:S:1:pos:R:3 pbc="T T T"
Sm 1.583 3.035 0.000
Sm 3.035 7.652 0.000
Sm 6.201 1.583 0.000
Sm 7.652 6.201 0.000
Cu 0.000 0.000 0.000
Cu 4.618 4.618 0.000
Ni 0.000 4.618 1.839
Ni 0.499 7.506 1.839
Ni 1.729 0.499 1.839
Ni 2.889 5.117 1.839
Ni 4.118 2.889 1.839
Ni 4.618 0.000 1.839
Ni 5.117 6.347 1.839
Ni 6.347 4.118 1.839
Ni 7.506 8.736 1.839
Ni 8.736 1.729 1.839
Rh 1.202 5.820 0.000
Rh 3.416 1.202 0.000
Rh 5.820 8.034 0.000
Rh 8.034 3.416 0.000
```

The following is a DFT calculation (PBE-GGA) of ZrZnPd3 after structural relaxation.

Values from the calculation:
SG = C2/m, No. 12
polymorph energy (0 for the lowest one) = 0 meV per atom
E_form = -0.558 eV/atom
DFT total energy = -0.2072 hartree per atom
magnetization = 0.0 μB per formula unit
Fermi-level density of states = 5.22 states/eV per cell

```
10
Lattice="6.654 -2.349 0.000 6.654 2.349 0.000 -1.715 0.000 5.271" Properties=species:S:1:pos:R:3 pbc="T T T"
Zr 0.734 0.000 2.145
Zr 10.859 0.000 3.126
Zn 2.727 0.000 4.471
Zn 8.866 0.000 0.800
Pd 0.039 0.000 4.771
Pd 3.492 0.000 1.702
Pd 5.308 0.000 3.963
Pd 6.285 0.000 1.307
Pd 8.101 0.000 3.569
Pd 11.554 0.000 0.500
```

The following is a DFT calculation (PBE-GGA) of SrCaSm2Te4 after structural relaxation.

Values from the calculation:
SG = P2/m, No. 10
ΔE_f (raw) = -1166 kJ/mol of formula units
DFT total energy = -0.1735 hartree per atom
magnetization = 0.0 μB per formula unit
Fermi-level density of states = 3.76 states/eV per cell

```
8
Lattice="7.765 0.000 0.000 0.000 4.486 0.000 -2.596 0.000 7.533" Properties=species:S:1:pos:R:3 pbc="T T T"
Sr 0.000 0.000 0.000
Ca 3.883 2.243 0.000
Sm -1.298 2.243 3.766
Sm 2.585 0.000 3.766
Te 0.037 0.000 5.622
Te 1.333 2.243 1.941
Te 3.837 2.243 5.591
Te 5.132 0.000 1.910
```

The following is a DFT calculation (PBE-GGA) of KMnRu after structural relaxation.

Values from the calculation:
SG = F-43m, No. 216
polymorph energy (0 for the lowest one) = 839 meV per atom
E_form = 1.541 eV/atom
DFT total energy = -0.1828 hartree per atom
magnetization = 3.9 μB per formula unit
Fermi-level density of states = 5.50 states/eV per cell

```
3
Lattice="0.000 3.250 3.250 3.250 0.000 3.250 3.250 3.250 0.000" Properties=species:S:1:pos:R:3 pbc="T T T"
K 0.000 0.000 0.000
Mn 3.250 3.250 3.250
Ru 1.625 1.625 1.625
```

The following is a DFT calculation (PBE-GGA) of Ag5As3 after structural relaxation.

Values from the calculation:
SG = P6_3/mcm, No. 193
polymorph energy (0 for the lowest one) = 65 meV per atom
E_form = 0.213 eV/atom
DFT total energy = -0.1217 hartree per atom
magnetization = 0.0 μB per formula unit
Fermi-level density of states = 7.39 states/eV per cell

```
16
Lattice="8.107 0.000 0.000 -4.053 7.021 0.000 0.000 0.000 5.444" Properties=species:S:1:pos:R:3 pbc="T T T"
Ag -0.852 1.475 1.361
Ag -3.202 5.546 4.083
Ag 1.703 0.000 1.361
Ag 0.852 1.475 4.083
Ag 0.000 4.681 0.000
Ag 0.000 4.681 2.722
Ag 4.053 2.340 0.000
Ag 4.053 2.340 2.722
Ag 6.404 0.000 4.083
Ag 3.202 5.546 1.361
As -1.599 2.769 4.083
As -2.455 4.252 1.361
As 3.197 0.000 4.083
As 1.599 2.769 1.361
As 4.910 0.000 1.361
As 2.455 4.252 4.083
```